A plane-wave DFT calculation with GGA-PBE was carried out for a geometry-optimized KPb2W structure.

Output
Density of states at the Fermi level (states/eV/atom): 0.483
Energy of formation from the pure elements (eV per atom): 1.134
Total DFT energy (no corrections) (eV/atom): -4.233
Excess energy over the best structure of this formula in the dataset (eV per atom): 0.587

Unit cell a=4.531 b=4.903 c=4.903 alpha=90.00 beta=90.00 gamma=90.00
Site moments in Bohr magnetons follow the coordinates.
Fractional coordinates of all 4 atoms:
W 0.500 0.500 0.000  2.50
Pb 0.000 0.500 0.500  -0.05
K 0.500 0.000 0.500  0.01
Pb 0.000 0.000 0.000  -0.05

***

A plane-wave DFT calculation with GGA-PBE was carried out for a geometry-optimized KPb4W structure.

Output
Density of states at the Fermi level (states/eV/atom): 0.806
Energy of formation from the pure elements (eV per atom): 0.900
Total DFT energy (no corrections) (eV/atom): -3.914

Unit cell a=6.465 b=6.465 c=6.465 alpha=60.00 beta=60.00 gamma=60.00
Site moments in Bohr magnetons follow the coordinates.
Fractional coordinates of all 6 atoms:
Pb 0.377 0.377 0.377  -0.04
W 0.750 0.750 0.750  2.88
K 0.000 0.000 0.000  0.00
Pb 0.870 0.377 0.377  -0.04
Pb 0.377 0.377 0.870  -0.04
Pb 0.377 0.870 0.377  -0.04

***

A plane-wave DFT calculation with GGA-PBE was carried out for a geometry-optimized KPb2W structure.

Output
Density of states at the Fermi level (states/eV/atom): 0.876
Energy of formation from the pure elements (eV per atom): 1.184
Total DFT energy (no corrections) (eV/atom): -4.183
Excess energy over the best structure of this formula in the dataset (eV per atom): 0.637

Unit cell a=6.076 b=6.076 c=6.076 alpha=136.80 beta=136.80 gamma=62.74
Site moments in Bohr magnetons follow the coordinates.
Fractional coordinates of all 4 atoms:
W 0.500 0.500 0.000  1.20
K 0.750 0.250 0.500  -0.01
Pb 0.000 0.000 0.000  -0.04
Pb 0.250 0.750 0.500  -0.08

***

A plane-wave DFT calculation with GGA-PBE was carried out for a geometry-optimized K2PbW structure.

Output
Density of states at the Fermi level (states/eV/atom): 0.531
Energy of formation from the pure elements (eV per atom): 1.201
Total DFT energy (no corrections) (eV/atom): -3.513

Unit cell a=6.678 b=6.678 c=6.678 alpha=141.87 beta=141.87 gamma=55.02
Site moments in Bohr magnetons follow the coordinates.
Fractional coordinates of all 4 atoms:
K 0.000 0.000 0.000  0.00
K 0.500 0.500 0.000  0.00
W 0.750 0.250 0.500  1.70
Pb 0.250 0.750 0.500  -0.11

***

A plane-wave DFT calculation with GGA-PBE was carried out for a geometry-optimized KPb2W structure.

Output
Density of states at the Fermi level (states/eV/atom): 0.608
Energy of formation from the pure elements (eV per atom): 0.850
Total DFT energy (no corrections) (eV/atom): -4.517
Excess energy over the best structure of this formula in the dataset (eV per atom): 0.303

Unit cell a=6.996 b=6.996 c=6.996 alpha=154.83 beta=122.31 gamma=63.93
Site moments in Bohr magnetons follow the coordinates.
Fractional coordinates of all 4 atoms:
K 0.250 0.750 0.500  0.02
W 0.750 0.250 0.500  0.95
Pb 0.957 0.957 0.000  -0.01
Pb 0.543 0.543 0.000  -0.01

***

A plane-wave DFT calculation with GGA-PBE was carried out for a geometry-optimized KPb2W structure.

Output
Density of states at the Fermi level (states/eV/atom): 0.488
Energy of formation from the pure elements (eV per atom): 0.920
Total DFT energy (no corrections) (eV/atom): -4.447
Excess energy over the best structure of this formula in the dataset (eV per atom): 0.373

Unit cell a=3.118 b=3.118 c=12.656 alpha=90.00 beta=90.00 gamma=115.44
Fractional coordinates of all 4 atoms:
K 0.500 0.500 0.724
W 0.000 0.000 0.490
Pb 0.500 0.500 0.294
Pb 0.000 0.000 0.992